(1)
A geometry-optimized GdLuRh2 structure. Source: the Alexandria database, functional PBE-GGA.

Properties
calculated total energy = -0.3386 Ha/atom
crystal system = cubic
N(E_F) = 0.6351 states/eV/atom
distance to the lowest polymorph of the same formula = 3.6 meV/atom
ΔE_f = -0.889 eV/atom
volume = 316.5 Å³ per cell

Cell lengths 6.815, 6.815, 6.815 Å; angles 90.00, 90.00, 90.00 degrees
Space group Fm-3m (No. 225)
Symmetry-distinct sites (fractional):
Gd 0.000 0.000 0.000 x4
Lu 0.000 0.000 0.500 x4
Rh 0.250 0.250 0.250 x8

(2)
A geometry-optimized GdLu3Rh structure. Source: the Alexandria database, functional PBE-GGA.

Properties
calculated total energy = -0.2684 Ha/atom
crystal system = cubic
N(E_F) = 1.5975 states/eV/atom
ΔE_f = -0.303 eV/atom
volume = 148.6 Å³ per cell

Cell lengths 5.297, 5.297, 5.297 Å; angles 90.00, 90.00, 90.00 degrees
Space group Pm-3m (No. 221)
Symmetry-distinct sites (fractional):
Gd 0.000 0.000 0.000 x1
Lu 0.000 0.500 0.500 x3
Rh 0.500 0.500 0.500 x1

(3)
A geometry-optimized GdLuRh2 structure. Source: the Alexandria database, functional PBE-GGA.

Properties
calculated total energy = -0.3388 Ha/atom
crystal system = tetragonal
N(E_F) = 0.4035 states/eV/atom
distance to the lowest polymorph of the same formula = 0.0 meV/atom
ΔE_f = -0.892 eV/atom
volume = 79.1 Å³ per cell

Cell lengths 3.347, 3.347, 7.056 Å; angles 90.00, 90.00, 90.00 degrees
Space group P4/mmm (No. 123)
Symmetry-distinct sites (fractional):
Gd 0.000 0.000 0.000 x1
Lu 0.000 0.000 0.500 x1
Rh 0.500 0.500 0.261 x2

(4)
A geometry-optimized Gd2LuRh structure. Source: the Alexandria database, functional PBE-GGA.

Properties
calculated total energy = -0.3807 Ha/atom
crystal system = tetragonal
N(E_F) = 1.1294 states/eV/atom
distance to the lowest polymorph of the same formula = 0.0 meV/atom
ΔE_f = -0.351 eV/atom
volume = 105.9 Å³ per cell

Cell lengths 3.543, 3.543, 8.441 Å; angles 90.00, 90.00, 90.00 degrees
Space group P4/mmm (No. 123)
Symmetry-distinct sites (fractional):
Gd 0.000 0.000 0.193 x2
Lu 0.500 0.500 0.500 x1
Rh 0.500 0.500 0.000 x1

(5)
A geometry-optimized Gd2LuRh structure. Source: the Alexandria database, functional PBE-GGA.

Properties
calculated total energy = -0.3781 Ha/atom
crystal system = trigonal
N(E_F) = 1.0131 states/eV/atom
distance to the lowest polymorph of the same formula = 70.7 meV/atom
ΔE_f = -0.281 eV/atom
volume = 343.2 Å³ per cell

Cell lengths 3.7550, 3.7550, 28.1067 Å; angles 90.00, 90.00, 120.00 degrees
Space group R-3m (No. 166, hexagonal axes)
Symmetry-distinct sites (fractional):
Gd 0.0000 0.0000 0.2285 x6
Lu 0.0000 0.0000 0.0000 x3
Rh 0.0000 0.0000 0.5000 x3

(6)
A geometry-optimized GdLuScRh structure. Source: the Alexandria database, functional PBE-GGA.

Properties
calculated total energy = -0.3048 Ha/atom
crystal system = cubic
N(E_F) = 1.0840 states/eV/atom
ΔE_f = -0.224 eV/atom
volume = 362.2 Å³ per cell

Cell lengths 7.128, 7.128, 7.128 Å; angles 90.00, 90.00, 90.00 degrees
Space group F-43m (No. 216)
Symmetry-distinct sites (fractional):
Gd 0.000 0.000 0.000 x4
Lu 0.000 0.000 0.500 x4
Sc 0.250 0.250 0.250 x4
Rh 0.250 0.250 0.750 x4

(7)
A geometry-optimized GdLuTlRh structure. Source: the Alexandria database, functional PBE-GGA.

Properties
calculated total energy = -0.2783 Ha/atom
crystal system = cubic
N(E_F) = 0.4162 states/eV/atom
ΔE_f = -0.492 eV/atom
volume = 373.1 Å³ per cell

Cell lengths 7.199, 7.199, 7.199 Å; angles 90.00, 90.00, 90.00 degrees
Space group F-43m (No. 216)
Symmetry-distinct sites (fractional):
Gd 0.000 0.000 0.000 x4
Lu 0.000 0.000 0.500 x4
Tl 0.250 0.250 0.250 x4
Rh 0.250 0.250 0.750 x4

(8)
A geometry-optimized Gd2LuRu structure. Source: the Alexandria database, functional PBE-GGA.

Properties
calculated total energy = -0.3807 Ha/atom
crystal system = trigonal
N(E_F) = 1.3610 states/eV/atom
distance to the lowest polymorph of the same formula = 263.3 meV/atom
ΔE_f = 0.131 eV/atom
volume = 333.9 Å³ per cell

Cell lengths 3.4939, 3.4939, 31.5810 Å; angles 90.00, 90.00, 120.00 degrees
Space group R-3m (No. 166, hexagonal axes)
Symmetry-distinct sites (fractional):
Gd 0.0000 0.0000 0.1052 x6
Lu 0.0000 0.0000 0.0000 x3
Ru 0.0000 0.0000 0.5000 x3

(9)
A geometry-optimized Gd2LuRu structure. Source: the Alexandria database, functional PBE-GGA.

Properties
calculated total energy = -0.3904 Ha/atom
crystal system = tetragonal
N(E_F) = 1.2874 states/eV/atom
distance to the lowest polymorph of the same formula = 0.0 meV/atom
ΔE_f = -0.132 eV/atom
volume = 105.2 Å³ per cell

Cell lengths 3.446, 3.446, 8.858 Å; angles 90.00, 90.00, 90.00 degrees
Space group P4/mmm (No. 123)
Symmetry-distinct sites (fractional):
Gd 0.000 0.000 0.189 x2
Lu 0.500 0.500 0.500 x1
Ru 0.500 0.500 0.000 x1

(10)
A geometry-optimized Gd3LuRu structure. Source: the Alexandria database, functional PBE-GGA.

Properties
calculated total energy = -0.4129 Ha/atom
crystal system = cubic
N(E_F) = 1.2999 states/eV/atom
ΔE_f = -0.027 eV/atom
volume = 157.7 Å³ per cell

Cell lengths 5.402, 5.402, 5.402 Å; angles 90.00, 90.00, 90.00 degrees
Space group Pm-3m (No. 221)
Symmetry-distinct sites (fractional):
Gd 0.000 0.000 0.500 x3
Lu 0.500 0.500 0.500 x1
Ru 0.000 0.000 0.000 x1

(11)
A geometry-optimized GdLu3Ru structure. Source: the Alexandria database, functional PBE-GGA.

Properties
calculated total energy = -0.2765 Ha/atom
crystal system = cubic
N(E_F) = 1.5022 states/eV/atom
ΔE_f = -0.141 eV/atom
volume = 147.5 Å³ per cell

Cell lengths 5.284, 5.284, 5.284 Å; angles 90.00, 90.00, 90.00 degrees
Space group Pm-3m (No. 221)
Symmetry-distinct sites (fractional):
Gd 0.000 0.000 0.000 x1
Lu 0.000 0.500 0.500 x3
Ru 0.500 0.500 0.500 x1

(12)
A geometry-optimized SmGdLuRu structure. Source: the Alexandria database, functional PBE-GGA.

Properties
calculated total energy = -0.2958 Ha/atom
crystal system = cubic
N(E_F) = 1.3456 states/eV/atom
ΔE_f = 0.101 eV/atom
volume = 393.0 Å³ per cell

Cell lengths 7.325, 7.325, 7.325 Å; angles 90.00, 90.00, 90.00 degrees
Space group F-43m (No. 216)
Symmetry-distinct sites (fractional):
Sm 0.000 0.000 0.000 x4
Gd 0.000 0.000 0.500 x4
Lu 0.250 0.250 0.750 x4
Ru 0.250 0.250 0.250 x4

(13)
A geometry-optimized GdLuSnRu structure. Source: the Alexandria database, functional PBE-GGA.

Properties
calculated total energy = -0.3080 Ha/atom
crystal system = cubic
N(E_F) = 0.6145 states/eV/atom
ΔE_f = -0.410 eV/atom
volume = 362.7 Å³ per cell

Cell lengths 7.131, 7.131, 7.131 Å; angles 90.00, 90.00, 90.00 degrees
Space group F-43m (No. 216)
Symmetry-distinct sites (fractional):
Gd 0.000 0.000 0.000 x4
Lu 0.000 0.000 0.500 x4
Sn 0.250 0.250 0.750 x4
Ru 0.250 0.250 0.250 x4

(14)
A geometry-optimized TbGdLuRu structure. Source: the Alexandria database, functional PBE-GGA.

Properties
calculated total energy = -0.2961 Ha/atom
crystal system = cubic
N(E_F) = 1.2363 states/eV/atom
ΔE_f = 0.070 eV/atom
volume = 385.5 Å³ per cell

Cell lengths 7.278, 7.278, 7.278 Å; angles 90.00, 90.00, 90.00 degrees
Space group F-43m (No. 216)
Symmetry-distinct sites (fractional):
Tb 0.000 0.000 0.000 x4
Gd 0.000 0.000 0.500 x4
Lu 0.250 0.250 0.250 x4
Ru 0.250 0.250 0.750 x4

(15)
A geometry-optimized GdLuTcRu structure. Source: the Alexandria database, functional PBE-GGA.

Properties
calculated total energy = -0.3541 Ha/atom
crystal system = cubic
N(E_F) = 1.3974 states/eV/atom
ΔE_f = -0.075 eV/atom
volume = 312.4 Å³ per cell

Cell lengths 6.785, 6.785, 6.785 Å; angles 90.00, 90.00, 90.00 degrees
Space group F-43m (No. 216)
Symmetry-distinct sites (fractional):
Gd 0.000 0.000 0.000 x4
Lu 0.000 0.000 0.500 x4
Tc 0.250 0.250 0.750 x4
Ru 0.250 0.250 0.250 x4

(16)
A geometry-optimized GdTmLuRu structure. Source: the Alexandria database, functional PBE-GGA.

Properties
calculated total energy = -0.2958 Ha/atom
crystal system = cubic
N(E_F) = 1.0650 states/eV/atom
ΔE_f = 0.039 eV/atom
volume = 377.5 Å³ per cell

Cell lengths 7.227, 7.227, 7.227 Å; angles 90.00, 90.00, 90.00 degrees
Space group F-43m (No. 216)
Symmetry-distinct sites (fractional):
Gd 0.000 0.000 0.000 x4
Tm 0.000 0.000 0.500 x4
Lu 0.250 0.250 0.250 x4
Ru 0.250 0.250 0.750 x4

(17)
A geometry-optimized Gd3LuS structure. Source: the Alexandria database, functional PBE-GGA.

Properties
calculated total energy = -0.3979 Ha/atom
formation energy (no corrections) = -0.649 eV/atom
crystal system = cubic
N(E_F) = 1.5765 states/eV/atom
volume = 153.0 Å³ per cell

Cell lengths 5.348, 5.348, 5.348 Å; angles 90.00, 90.00, 90.00 degrees
Space group Pm-3m (No. 221)
Symmetry-distinct sites (fractional):
Gd 0.000 0.000 0.500 x3
Lu 0.500 0.500 0.500 x1
S 0.000 0.000 0.000 x1

(18)
A geometry-optimized Gd2LuSb structure. Source: the Alexandria database, functional PBE-GGA.

Properties
calculated total energy = -0.3563 Ha/atom
formation energy (no corrections) = -0.494 eV/atom
crystal system = tetragonal
N(E_F) = 1.3153 states/eV/atom
distance to the lowest polymorph of the same formula = 22.8 meV/atom
volume = 110.6 Å³ per cell

Cell lengths 4.790, 4.790, 4.819 Å; angles 90.00, 90.00, 90.00 degrees
Space group P4/mmm (No. 123)
Symmetry-distinct sites (fractional):
Gd 0.000 0.500 0.000 x2
Lu 0.000 0.000 0.500 x1
Sb 0.500 0.500 0.500 x1

(19)
A geometry-optimized Gd2LuSb structure. Source: the Alexandria database, functional PBE-GGA.

Properties
calculated total energy = -0.3493 Ha/atom
formation energy (no corrections) = -0.304 eV/atom
crystal system = trigonal
N(E_F) = 0.9880 states/eV/atom
distance to the lowest polymorph of the same formula = 212.9 meV/atom
volume = 396.7 Å³ per cell

Cell lengths 3.9726, 3.9726, 29.0285 Å; angles 90.00, 90.00, 120.00 degrees
Space group R-3m (No. 166, hexagonal axes)
Symmetry-distinct sites (fractional):
Gd 0.0000 0.0000 0.2356 x6
Lu 0.0000 0.0000 0.0000 x3
Sb 0.0000 0.0000 0.5000 x3

(20)
A geometry-optimized Gd2LuSb structure. Source: the Alexandria database, functional PBE-GGA.

Properties
calculated total energy = -0.3571 Ha/atom
formation energy (no corrections) = -0.517 eV/atom
crystal system = tetragonal
N(E_F) = 1.1207 states/eV/atom
distance to the lowest polymorph of the same formula = 0.0 meV/atom
volume = 115.1 Å³ per cell

Cell lengths 4.093, 4.093, 6.871 Å; angles 90.00, 90.00, 90.00 degrees
Space group P4/mmm (No. 123)
Symmetry-distinct sites (fractional):
Gd 0.000 0.000 0.232 x2
Lu 0.500 0.500 0.500 x1
Sb 0.500 0.500 0.000 x1